1.
# LaPr7Hg4

A relaxed structure of LaPr7Hg4 (GGA-PBE, Alexandria via LeMat-Bulk).

Cell lengths 15.095, 5.941, 10.163 Å; angles 90.00, 122.86, 90.00 degrees
Space group C2/m (No. 12)
Inequivalent atoms, fractional coordinates:
La1 0.000 0.000 0.000
Pr1 0.000 0.500 0.000
Pr2 0.063 0.000 0.402
Pr3 0.208 0.000 0.889
Pr4 0.229 0.500 0.680
Hg1 0.045 0.500 0.728
Hg2 0.189 0.500 0.342

Properties
- Uncorrected energy: -82.67 eV per cell
- DOS at the Fermi energy: 1.237 states/eV per atom
- Energy relative to the elements: -0.1453 eV per atom

***

2.
# La5Pr4Hg4

A relaxed structure of La5Pr4Hg4 (GGA-PBE, Alexandria via LeMat-Bulk).

Cell lengths 12.603, 12.603, 5.369 Å; angles 90.00, 90.00, 90.00 degrees
Space group I4/m (No. 87)
Inequivalent atoms, fractional coordinates:
La1 0.000 0.000 0.000
La2 0.119 0.187 0.500
Pr1 0.095 0.389 0.000
Hg1 0.099 0.764 0.000

Properties
- Uncorrected energy: -97.92 eV per cell
- DOS at the Fermi energy: 0.982 states/eV per atom
- Energy relative to the elements: -0.3074 eV per atom

***

3.
# LaPr6Hg5

A relaxed structure of LaPr6Hg5 (GGA-PBE, Alexandria via LeMat-Bulk).

Cell lengths 5.463, 16.699, 7.833 Å; angles 90.00, 90.00, 90.00 degrees
Space group Cmmm (No. 65)
Inequivalent atoms, fractional coordinates:
La1 0.000 0.000 0.000
Pr1 0.000 0.175 0.250
Pr2 0.000 0.500 0.276
Hg1 0.000 0.000 0.500
Hg2 0.000 0.332 0.500
Hg3 0.000 0.347 0.000

Properties
- Uncorrected energy: -78.51 eV per cell
- DOS at the Fermi energy: 1.452 states/eV per atom
- Energy relative to the elements: -0.3453 eV per atom

***

4.
# La5Pr2Hg

A relaxed structure of La5Pr2Hg (GGA-PBE, Alexandria via LeMat-Bulk).

Cell lengths 7.077, 13.748, 5.714 Å; angles 90.00, 90.00, 90.00 degrees
Space group Pbam (No. 55)
Inequivalent atoms, fractional coordinates:
La1 0.000 0.000 0.000
La2 0.116 0.266 0.000
La3 0.158 0.601 0.500
Pr1 0.122 0.852 0.500
Hg1 0.000 0.500 0.000

Properties
- Uncorrected energy: -70.43 eV per cell
- DOS at the Fermi energy: 1.483 states/eV per atom
- Energy relative to the elements: -0.0894 eV per atom

***

- Look up the energy relative to the elements of the third one.
  -0.3453 eV per atom

***

- What is the uncorrected energy in the second record?
  -97.92 eV per cell

***

- energy relative to the elements of number 4 (La5Pr2Hg)?
  -0.0894 eV per atom